The following is a SCAN calculation of a crystal of TaTi3H relaxed with PBEsol, from the Alexandria database.

Cell: 4.7789 4.7789 4.7789 Å, 90.00 90.00 90.00°
Each line ends with the local moment (μB).
Sites, in units of the cell vectors:
1 H 0.5000 0.5000 0.5000  -0.07
2 Ti 0.0000 0.5000 0.0000  0.76
3 Ti 0.0000 0.0000 0.5000  0.76
4 Ti 0.5000 0.0000 0.0000  0.76
5 Ta 0.0000 0.0000 0.0000  -0.02

Values from the calculation:
Distance to the lowest polymorph of the same formula in meV per atom: 1736
VASP energy in eV/atom: -21.954